Record 1
Density functional theory data (PBE) for a geometry-optimized Ba3Sr5H12 structure.

Cell lengths 15.066, 15.066, 15.066 Å; angles 90.00, 90.00, 90.00 degrees
Space group Ia-3d (No. 230)
Symmetry-distinct sites (fractional):
Ba  0.000  0.250  0.125 x24
Sr  0.000  0.000  0.000 x16
Sr  0.000  0.250  0.375 x24
H  0.016  0.062  0.652 x96

N(E_F) ... 0.470 states/eV per atom
Total energy ... -3.09 eV/atom

***

Record 2
Density functional theory data (PBE) for a geometry-optimized Ba4SrH10 structure.

Cell lengths 4.4018, 4.4018, 53.8574 Å; angles 90.00, 90.00, 120.00 degrees
Space group R-3m (No. 166, hexagonal axes)
Symmetry-distinct sites (fractional):
Ba  0.0000  0.0000  0.1025 x6
Ba  0.0000  0.0000  0.2992 x6
Sr  0.0000  0.0000  0.5000 x3
H  0.0000  0.0000  0.0516 x6
H  0.0000  0.0000  0.1529 x6
H  0.0000  0.0000  0.2483 x6
H  0.0000  0.0000  0.3500 x6
H  0.0000  0.0000  0.4534 x6

Total energy ... -3.35 eV/atom

***

Record 3
Density functional theory data (PBE) for a geometry-optimized Ba5Sr3H12 structure.

Cell lengths 15.498, 15.498, 15.498 Å; angles 90.00, 90.00, 90.00 degrees
Space group Ia-3d (No. 230)
Symmetry-distinct sites (fractional):
Ba  0.000  0.000  0.000 x16
Ba  0.000  0.250  0.375 x24
Sr  0.000  0.250  0.125 x24
H  0.001  0.057  0.162 x96

N(E_F) ... 0.363 states/eV per atom
Total energy ... -3.05 eV/atom

***

Record 4
Density functional theory data (PBE) for a geometry-optimized Ba2SrH6 structure.

Cell lengths 4.350, 6.174, 13.019 Å; angles 90.00, 90.00, 90.00 degrees
Space group Immm (No. 71)
Symmetry-distinct sites (fractional):
Ba  0.000  0.000  0.165 x4
Sr  0.000  0.000  0.500 x2
H  0.000  0.241  0.340 x8
H  0.000  0.267  0.000 x4

Total energy ... -3.34 eV/atom

***

Repeat the fourth record exactly.
Density functional theory data (PBE) for a geometry-optimized Ba2SrH6 structure.

Cell lengths 4.350, 6.174, 13.019 Å; angles 90.00, 90.00, 90.00 degrees
Space group Immm (No. 71)
Symmetry-distinct sites (fractional):
Ba  0.000  0.000  0.165 x4
Sr  0.000  0.000  0.500 x2
H  0.000  0.241  0.340 x8
H  0.000  0.267  0.000 x4

Total energy ... -3.34 eV/atom

***

> Which value of total energy does entry 1 give?

-3.09 eV/atom